DFT (PBE) results for a geometry-optimized TlGaAu2 structure.

## Properties
* spin magnetization: 0.000 μB per atom
* ΔH_f (0 K): -0.199 eV per formula unit

abc: 3.8061 3.8061 7.5446
angles: 75.39 75.39 60.00
With the nearest neighbours (Å) after each atom.
Sites, in units of the cell vectors:
Tl  0.4996  0.4996  0.5012  6 Au 3.03-3.04
Ga  0.6670  0.6670  0.9991  6 Au 2.66-2.67
Au  0.0698  0.0698  0.7906  3 Ga 2.66
Au  0.2636  0.2636  0.2092  3 Ga 2.67